Record 1
DFT (GGA-PBE) results for CsAgGeS3 after structural relaxation.

a = 8.1707 Å, b = 8.1707 Å, c = 10.4802 Å
α = 90.00°, β = 90.00°, γ = 26.06°
Fractional coordinates of all 12 atoms:
Ag 0.9326 0.9326 0.2500
Ag 0.0674 0.0674 0.7500
Cs 0.2321 0.2321 0.2500
Cs 0.7679 0.7679 0.7500
Ge 0.5000 0.5000 0.0000
Ge 0.5000 0.5000 0.5000
S 0.8933 0.8933 0.0243
S 0.5438 0.5438 0.2500
S 0.8933 0.8933 0.4757
S 0.1067 0.1067 0.5243
S 0.4562 0.4562 0.7500
S 0.1067 0.1067 0.9757

## Properties
Excess energy over the best structure of this formula in the dataset, eV/atom: 0.0981
Electronic total energy, eV/atom: -3.76

=====

Record 2
DFT (GGA-PBE) results for CsAgGeS3 after structural relaxation.

a = 8.9291 Å, b = 3.8643 Å, c = 9.7222 Å
α = 90.00°, β = 113.14°, γ = 90.00°
Fractional coordinates of all 12 atoms:
Ag 0.9569 0.7500 0.3945
Ag 0.0431 0.2500 0.6055
Cs 0.2445 0.2500 0.2767
Cs 0.7555 0.7500 0.7233
Ge 0.6683 0.2500 0.1340
Ge 0.3317 0.7500 0.8660
S 0.8462 0.7500 0.1193
S 0.4714 0.7500 0.1277
S 0.7466 0.2500 0.3988
S 0.2534 0.7500 0.6012
S 0.5286 0.2500 0.8723
S 0.1538 0.2500 0.8807

## Properties
Excess energy over the best structure of this formula in the dataset, eV/atom: 0.0000
Electronic total energy, eV/atom: -3.86

=====

Record 3
DFT (GGA-PBE) results for CsAgGeTeS2 after structural relaxation.

a = 8.8103 Å, b = 8.8103 Å, c = 11.1893 Å
α = 90.00°, β = 90.00°, γ = 156.14°
Fractional coordinates of all 12 atoms:
Ag 0.5668 0.4332 0.2500
Ag 0.4332 0.5668 0.7500
Cs 0.2438 0.7562 0.2500
Cs 0.7562 0.2438 0.7500
Ge 0.0000 0.0000 0.0000
Ge 0.0000 0.0000 0.5000
S 0.6001 0.3999 0.0384
S 0.6001 0.3999 0.4616
S 0.3999 0.6001 0.5384
S 0.3999 0.6001 0.9616
Te 0.9373 0.0627 0.2500
Te 0.0627 0.9373 0.7500

## Properties
Electronic total energy, eV/atom: -3.58

=====

Record 4
DFT (GGA-PBE) results for CsAg3GeSe4 after structural relaxation.

a = 6.5395 Å, b = 7.9264 Å, c = 10.8367 Å
α = 90.00°, β = 106.19°, γ = 90.00°
Fractional coordinates of all 18 atoms:
Ag 0.0833 0.2500 0.2262
Ag 0.1949 0.0560 0.4684
Ag 0.1949 0.4440 0.4684
Ag 0.8051 0.5560 0.5316
Ag 0.8051 0.9440 0.5316
Ag 0.9167 0.7500 0.7738
Cs 0.2985 0.7500 0.1338
Cs 0.7015 0.2500 0.8662
Ge 0.6231 0.2500 0.2779
Ge 0.3769 0.7500 0.7221
Se 0.3400 0.2500 0.0872
Se 0.8334 0.5024 0.2792
Se 0.8334 0.9976 0.2792
Se 0.5439 0.2500 0.4852
Se 0.4561 0.7500 0.5148
Se 0.1666 0.0024 0.7208
Se 0.1666 0.4976 0.7208
Se 0.6600 0.7500 0.9128

## Properties
Excess energy over the best structure of this formula in the dataset, eV/atom: 0.0000
Electronic total energy, eV/atom: -3.52

=====

Record 5
DFT (GGA-PBE) results for CsAg3GeSe4 after structural relaxation.

a = 6.7368 Å, b = 6.7368 Å, c = 6.7368 Å
α = 90.00°, β = 90.00°, γ = 90.00°
Fractional coordinates of all 9 atoms:
Ag 0.5000 0.5000 0.0000
Ag 0.5000 0.0000 0.5000
Ag 0.0000 0.5000 0.5000
Cs 0.0000 0.0000 0.0000
Ge 0.5000 0.5000 0.5000
Se 0.2956 0.2956 0.2956
Se 0.7044 0.7044 0.2956
Se 0.7044 0.2956 0.7044
Se 0.2956 0.7044 0.7044

## Properties
Excess energy over the best structure of this formula in the dataset, eV/atom: 0.0611
Electronic total energy, eV/atom: -3.46

=====

Record 6
DFT (GGA-PBE) results for CsAgGeTe2Se after structural relaxation.

a = 8.8332 Å, b = 8.8332 Å, c = 11.4891 Å
α = 90.00°, β = 90.00°, γ = 154.55°
Fractional coordinates of all 12 atoms:
Ag 0.5528 0.4472 0.2500
Ag 0.4472 0.5528 0.7500
Cs 0.2632 0.7368 0.2500
Cs 0.7368 0.2632 0.7500
Ge 0.0000 0.0000 0.0000
Ge 0.0000 0.0000 0.5000
Se 0.9500 0.0500 0.2500
Se 0.0500 0.9500 0.7500
Te 0.6201 0.3799 0.0309
Te 0.6201 0.3799 0.4691
Te 0.3799 0.6201 0.5309
Te 0.3799 0.6201 0.9691

## Properties
Electronic total energy, eV/atom: -3.27

=====

Q: What is the formula in the first record?
A: CsAgGeS3

=====

Q: The lowest electronic total energy belongs to which entry?
A: number 2